# AcSiBr | the Alexandria database | PBE | optimized geometry
# formation energy from raw total energies: -1.104 eV/atom
# E above lowest polymorph: 148 meV/atom
# D(E_F): 1.21 states/eV/cell
# uncorrected energy: -4.839 eV/atom
data_AcSiBr
_chemical_formula_sum 'Ac2 Si2 Br2'
_cell_length_a 4.255
_cell_length_b 4.786
_cell_length_c 11.654
_cell_angle_alpha 99.20
_cell_angle_beta 90.01
_cell_angle_gamma 116.30
_symmetry_space_group_name_H-M 'P 1'
_symmetry_Int_Tables_number 1
loop_
_symmetry_equiv_pos_as_xyz
'x,y,z'
loop_
_atom_site_label
_atom_site_fract_x
_atom_site_fract_y
_atom_site_fract_z
_atom_site_occupancy
Ac1 0.000 0.000 0.000 1
Ac2 0.469 0.939 0.627 1
Si1 0.270 0.538 0.842 1
Si2 0.812 0.624 0.756 1
Br1 0.098 0.198 0.463 1
Br2 0.721 0.443 0.156 1